[1]
FeOsRh2 at its PBEsol-relaxed geometry. Source: Alexandria, functional SCAN.

Lattice parameters (Å, degrees): 2.666 2.666 7.400 90.00 90.00 90.00
Element x y z (fractional)
Fe: 0.000 0.000 0.000
Os: 0.000 0.000 0.500
Rh: 0.500 0.500 0.246
Rh: 0.500 0.500 0.754

## Properties
Formation energy from the elements   -40 meV/atom
Symmetry   P4/mmm, No. 123


[2]
TiGaSb3 at its PBEsol-relaxed geometry. Source: Alexandria, functional SCAN.

Lattice parameters (Å, degrees): 5.198 5.198 5.198 90.00 90.00 90.00
Element x y z (fractional)
Ti: 0.000 0.000 0.000
Ga: 0.500 0.500 0.500
Sb: 0.000 0.000 0.500
Sb: 0.000 0.500 0.000
Sb: 0.500 0.000 0.000

## Properties
Electronic total energy   -143.03 eV for the cell shown
Symmetry   Pm-3m, No. 221


[3]
MgP4 at its PBEsol-relaxed geometry. Source: Alexandria, functional SCAN.

Lattice parameters (Å, degrees): 4.593 4.593 7.918 90.00 90.00 90.00
Element x y z (fractional)
Mg: 0.000 0.000 0.000
Mg: 0.500 0.500 0.500
P: 0.000 0.000 0.331
P: 0.000 0.000 0.669
P: 0.000 0.500 0.250
P: 0.000 0.500 0.750
P: 0.500 0.000 0.250
P: 0.500 0.000 0.750
P: 0.500 0.500 0.169
P: 0.500 0.500 0.831

## Properties
Formation energy from the elements   252 meV/atom
Symmetry   I4/mmm, No. 139


[4]
CaCoAu2 at its PBEsol-relaxed geometry. Source: Alexandria, functional SCAN.

Lattice parameters (Å, degrees): 6.540 6.540 6.540 90.00 90.00 90.00
Element x y z (fractional)
Ca: 0.000 0.000 0.000
Ca: 0.000 0.500 0.500
Ca: 0.500 0.000 0.500
Ca: 0.500 0.500 0.000
Co: 0.250 0.250 0.250
Co: 0.250 0.750 0.750
Co: 0.750 0.250 0.750
Co: 0.750 0.750 0.250
Au: 0.000 0.000 0.500
Au: 0.000 0.500 0.000
Au: 0.250 0.250 0.750
Au: 0.250 0.750 0.250
Au: 0.500 0.000 0.000
Au: 0.500 0.500 0.500
Au: 0.750 0.250 0.250
Au: 0.750 0.750 0.750

## Properties
Formation energy from the elements   -226 meV/atom
Symmetry   F-43m, No. 216


[5]
SiPb2Br at its PBEsol-relaxed geometry. Source: Alexandria, functional SCAN.

Lattice parameters (Å, degrees): 3.557 3.505 8.153 90.00 90.19 90.00
Element x y z (fractional)
Si: 0.000 0.000 0.000
Pb: 0.497 0.500 0.775
Pb: 0.503 0.500 0.225
Br: 0.000 0.000 0.500

## Properties
Electronic total energy   -180.69 eV for the cell shown
Symmetry   P2/m, No. 10


[6]
LiCd2In at its PBEsol-relaxed geometry. Source: Alexandria, functional SCAN.

Lattice parameters (Å, degrees): 6.872 6.872 6.872 90.00 90.00 90.00
Element x y z (fractional)
Li: 0.000 0.000 0.000
Li: 0.000 0.500 0.500
Li: 0.500 0.000 0.500
Li: 0.500 0.500 0.000
Cd: 0.000 0.000 0.500
Cd: 0.000 0.500 0.000
Cd: 0.250 0.250 0.750
Cd: 0.250 0.750 0.250
Cd: 0.500 0.000 0.000
Cd: 0.500 0.500 0.500
Cd: 0.750 0.250 0.250
Cd: 0.750 0.750 0.750
In: 0.250 0.250 0.250
In: 0.250 0.750 0.750
In: 0.750 0.250 0.750
In: 0.750 0.750 0.250

## Properties
Formation energy from the elements   -167 meV/atom
Symmetry   F-43m, No. 216